(1)
CrSbBr2 (PBE-GGA, relaxed); E_form (uncorrected) = 0.18 eV/atom; DFT total energy = -0.15045 hartree per atom; crystal system = orthorhombic; DOS at the Fermi energy = 0.463 states/eV/atom
1.0
3.500 0.000 0.000
0.000 6.209 0.000
0.000 0.000 4.671
Br Cr Sb
2 1 1
Direct
0.000 0.000 0.000
0.500 0.500 0.000
0.500 0.000 0.500
0.000 0.500 0.500

=====

(2)
CoReNi3 (PBE-GGA, relaxed); E_form = 7.039 eV per formula unit; DFT total energy = -0.21946 hartree per atom; crystal system = cubic; DOS at the Fermi energy = 1.429 states/eV/atom
1.0
4.181 0.000 0.000
0.000 4.181 0.000
0.000 0.000 4.181
Re Co Ni
1 1 3
Direct
0.500 0.500 0.500
0.000 0.000 0.000
0.000 0.500 0.000
0.000 0.000 0.500
0.500 0.000 0.000

=====

(3)
Ho8Ga3Ge2 (PBE-GGA, relaxed); E_form = -4.808 eV per formula unit; DFT total energy = -0.16889 hartree per atom; crystal system = monoclinic; DOS at the Fermi energy = 0.996 states/eV/atom
1.0
-1.260 -5.247 2.392
7.251 -2.128 -0.847
-1.449 6.014 6.621
Ho Ga Ge
8 3 2
Direct
0.072 0.688 0.377
0.928 0.312 0.623
0.983 0.097 0.195
0.017 0.903 0.805
0.502 0.624 0.753
0.502 0.129 0.753
0.498 0.871 0.247
0.498 0.376 0.247
0.500 0.000 0.000
0.000 0.332 0.000
0.000 0.668 0.000
0.374 0.243 0.486
0.626 0.757 0.514

=====

(4)
LiPm2Pr (PBE-GGA, relaxed); E_form = 0.559 eV per formula unit; DFT total energy = -0.14365 hartree per atom; crystal system = trigonal; DOS at the Fermi energy = 1.141 states/eV/atom
1.0
3.579 0.000 0.000
-1.790 3.100 0.000
0.000 0.000 12.018
Li Pm Pr
1 2 1
Direct
0.667 0.333 0.524
0.667 0.333 0.254
0.333 0.667 0.758
0.000 0.000 0.009

=====

(5)
KRb2SmF6 (PBE-GGA, relaxed); E_form (uncorrected) = -3.31 eV/atom; DFT total energy = -0.19138 hartree per atom; crystal system = monoclinic; DOS at the Fermi energy = 0.000 states/eV/atom
1.0
6.630 0.000 0.015
0.000 6.820 0.000
0.080 0.000 9.428
K Rb Sm F
2 4 2 12
Direct
0.500 0.000 0.000
0.000 0.500 0.500
0.015 0.953 0.253
0.515 0.547 0.753
0.985 0.047 0.747
0.485 0.453 0.247
0.500 0.000 0.500
0.000 0.500 0.000
0.274 0.686 0.045
0.774 0.814 0.545
0.726 0.314 0.955
0.226 0.186 0.455
0.319 0.732 0.439
0.819 0.768 0.939
0.681 0.268 0.561
0.181 0.232 0.061
0.900 0.545 0.228
0.400 0.955 0.728
0.100 0.455 0.772
0.600 0.045 0.272

=====

(6)
CoNi2As (PBE-GGA, relaxed); E_form = -0.267 eV per formula unit; DFT total energy = -0.21669 hartree per atom; crystal system = orthorhombic; DOS at the Fermi energy = 1.363 states/eV/atom
1.0
4.259 -0.142 0.021
2.776 3.233 0.021
1.584 0.696 3.231
As Co Ni
1 1 2
Direct
0.500 0.500 0.500
0.251 0.251 0.249
0.000 0.000 0.000
0.749 0.749 0.751

=====

- Among the records above, which one has the highest DFT total energy?
  LiPm2Pr

=====

- Among the records above, which one has the highest DOS at the Fermi energy?
  CoReNi3